1.
Material: TbNdDyY
Method: DFT, PBE-GGA
State: optimized geometry

Properties
- Energy relative to the elements: 0.137 eV/atom
- Distance to the lowest polymorph of the same formula: 0.118 eV/atom
- Size of the total moment: 0.002 μB per formula unit

Lattice parameters (Å, degrees): 8.0940 8.0940 8.0940 90.00 90.00 90.00
Space group F-43m (No. 216)
Inequivalent atoms, fractional coordinates:
Tb 0.0000 0.0000 0.0000 [4 per cell]
Nd 0.2500 0.2500 0.2500 [4 per cell]
Dy 0.0000 0.0000 0.5000 [4 per cell]
Y 0.2500 0.2500 0.7500 [4 per cell]

***

2.
Material: CaCd2Cl
Method: DFT, PBE-GGA
State: optimized geometry

Properties
- Raw formation energy: -267.5 kJ/mol of formula units
- Distance to the lowest polymorph of the same formula: 0.096 eV/atom
- Size of the total moment: 0.000 μB per formula unit

Lattice parameters (Å, degrees): 3.6373 6.6490 4.5104 90.00 91.37 90.00
Space group P2/m (No. 10)
Inequivalent atoms, fractional coordinates:
Ca 0.0000 0.0000 0.0000 [1 per cell]
Cd 0.2496 0.5000 0.7517 [2 per cell]
Cl 0.5000 0.0000 0.5000 [1 per cell]

***

3.
Material: LiMn4Sb
Method: DFT, PBE-GGA
State: optimized geometry

Properties
- Raw formation energy: 160.6 kJ/mol of formula units
- Size of the total moment: 2.461 μB per formula unit

Lattice parameters (Å, degrees): 6.7745 6.7745 6.7745 90.00 90.00 90.00
Space group F-43m (No. 216)
Inequivalent atoms, fractional coordinates:
Li 0.0000 0.0000 0.0000 [4 per cell]
Mn 0.1256 0.1256 0.6256 [16 per cell]
Sb 0.2500 0.2500 0.2500 [4 per cell]

***

4.
Material: Ac2ErTh
Method: DFT, PBE-GGA
State: optimized geometry

Properties
- Energy relative to the elements: 0.129 eV/atom
- Distance to the lowest polymorph of the same formula: 0.001 eV/atom
- Size of the total moment: 0.000 μB per formula unit

Lattice parameters (Å, degrees): 5.3171 5.3171 5.3212 90.00 90.00 90.00
Space group P4/mmm (No. 123)
Inequivalent atoms, fractional coordinates:
Ac 0.0000 0.5000 0.0000 [2 per cell]
Er 0.0000 0.0000 0.5000 [1 per cell]
Th 0.5000 0.5000 0.5000 [1 per cell]

***

5.
Material: Y4SeCl
Method: DFT, PBE-GGA
State: optimized geometry

Properties
- Raw formation energy: 62.1 kJ/mol of formula units
- Size of the total moment: 0.000 μB per formula unit

Lattice parameters (Å, degrees): 9.0929 9.0929 9.0929 90.00 90.00 90.00
Space group F-43m (No. 216)
Inequivalent atoms, fractional coordinates:
Y 0.1243 0.1243 0.3757 [16 per cell]
Se 0.2500 0.2500 0.7500 [4 per cell]
Cl 0.0000 0.0000 0.0000 [4 per cell]

***

6.
Material: CoCuH3
Method: DFT, PBE-GGA
State: optimized geometry

Properties
- Distance to the lowest polymorph of the same formula: 0.099 eV/atom
- Size of the total moment: 0.000 μB per formula unit

Lattice parameters (Å, degrees): 4.4639 4.4639 2.4442 90.00 90.00 120.00
Space group P-6 (No. 174)
Inequivalent atoms, fractional coordinates:
Co 0.0000 0.0000 0.0000 [1 per cell]
Cu 0.3333 0.6667 0.0000 [1 per cell]
H 0.1307 0.2978 0.5000 [3 per cell]

***

7.
Material: HfV2Ni2
Method: DFT, PBE-GGA
State: optimized geometry

Properties
- Energy relative to the elements: -0.030 eV/atom
- Distance to the lowest polymorph of the same formula: 0.048 eV/atom
- Size of the total moment: 1.248 μB per formula unit

Lattice parameters (Å, degrees): 7.0192 7.0192 2.8703 90.00 90.00 90.00
Space group P4/mbm (No. 127)
Inequivalent atoms, fractional coordinates:
Hf 0.0000 0.0000 0.0000 [2 per cell]
V 0.1688 0.3312 0.5000 [4 per cell]
Ni 0.1239 0.6239 0.0000 [4 per cell]

***

8.
Material: CaAc3Sm2
Method: DFT, PBE-GGA
State: optimized geometry

Properties
- Energy relative to the elements: 0.064 eV/atom
- Size of the total moment: 0.000 μB per formula unit

Lattice parameters (Å, degrees): 7.6786 10.9453 23.0319 90.00 90.00 90.00
Space group Fddd (No. 70, origin choice 2)
Inequivalent atoms, fractional coordinates:
Ca 0.1250 0.1250 0.1250 [8 per cell]
Ac 0.1250 0.1250 0.2927 [16 per cell]
Ac 0.1250 0.1250 0.6250 [8 per cell]
Sm 0.1250 0.1250 0.4620 [16 per cell]

***

Number 1: E_tot -4.9788 eV per atom. Number 2: E_tot -2.1128 eV per atom. Number 3: E_tot -6.8416 eV per atom. Number 4: E_tot -4.9212 eV per atom. Number 5: E_tot -5.0907 eV per atom. Number 6: E_tot -4.0714 eV per atom. Number 7: E_tot -7.9811 eV per atom. Number 8: E_tot -3.8969 eV per atom.